First-principles (GGA-PBE) data for Nb4VTc5 after structural relaxation, as listed in the Alexandria database.

The calculation puts the calculated volume at 158 Å³ per cell. Its density of states at the Fermi level is 0.34 states/eV/atom. The formation energy comes out at -0.33 eV per atom.

It has space group P4/mmm (No. 123), with a = 3.1670 Å, b = 3.1670 Å, c = 15.7940 Å, α = 90.00°, β = 90.00° and γ = 90.00°. The inequivalent atoms are Nb at (0.0000, 0.0000, 0.1017), Nb at (0.0000, 0.0000, 0.3050), V at (0.0000, 0.0000, 0.5000), Tc at (0.5000, 0.5000, 0.0000), Tc at (0.5000, 0.5000, 0.2032) and Tc at (0.5000, 0.5000, 0.4064).